1.
Here is ErTmInB after structural relaxation from OQMD via LeMat-Bulk. Energies are from PBE. Values from VASP.

Structure (Quantum ESPRESSO input):
```
&SYSTEM
  ibrav = 0, nat = 8, ntyp = 4
/
ATOMIC_SPECIES
Er 167.26 Er.upf
Tm 168.93 Tm.upf
In 114.82 In.upf
B 10.81 B.upf
CELL_PARAMETERS angstrom
3.576 0.000 0.000
-1.788 3.097 0.000
0.000 0.000 16.790
ATOMIC_POSITIONS crystal
Er 0.333 0.667 0.092
Er 0.667 0.333 0.908
Tm 0.333 0.667 0.409
Tm 0.667 0.333 0.591
In 0.333 0.667 0.749
In 0.667 0.333 0.251
B 0.000 0.000 0.000
B 0.000 0.000 0.500
```


2.
Here is KPPdO4 after structural relaxation from OQMD via LeMat-Bulk. Energies are from PBE. Values from VASP.

Structure (Quantum ESPRESSO input):
```
&SYSTEM
  ibrav = 0, nat = 14, ntyp = 4
/
ATOMIC_SPECIES
K 39.10 K.upf
P 30.97 P.upf
Pd 106.42 Pd.upf
O 16.00 O.upf
CELL_PARAMETERS angstrom
-3.355 3.355 5.281
3.355 -3.355 5.281
3.355 3.355 -5.281
ATOMIC_POSITIONS crystal
K 0.250 0.250 0.000
K 0.750 0.750 0.000
P 0.250 0.750 0.500
P 0.750 0.250 0.500
Pd 0.000 0.500 0.500
Pd 0.500 0.000 0.500
O 0.029 0.529 0.243
O 0.214 0.971 0.500
O 0.286 0.786 0.757
O 0.471 0.714 0.500
O 0.529 0.286 0.500
O 0.714 0.214 0.243
O 0.786 0.029 0.500
O 0.971 0.471 0.757
```


3.
Here is MgAuSe2O6 after structural relaxation from OQMD via LeMat-Bulk. Energies are from PBE. Values from VASP.

Structure (Quantum ESPRESSO input):
```
&SYSTEM
  ibrav = 0, nat = 20, ntyp = 4
/
ATOMIC_SPECIES
Mg 24.30 Mg.upf
Au 196.97 Au.upf
Se 78.96 Se.upf
O 16.00 O.upf
CELL_PARAMETERS angstrom
4.036 -2.724 0.000
4.036 2.724 0.000
-0.940 0.000 13.176
ATOMIC_POSITIONS crystal
Mg 0.001 0.999 0.750
Mg 0.999 0.001 0.250
Au 0.000 0.000 0.000
Au 0.000 0.000 0.500
Se 0.350 0.353 0.884
Se 0.353 0.350 0.384
Se 0.647 0.650 0.616
Se 0.650 0.647 0.116
O 0.245 0.253 0.771
O 0.247 0.738 0.374
O 0.251 0.740 0.874
O 0.253 0.245 0.271
O 0.260 0.749 0.626
O 0.262 0.753 0.126
O 0.738 0.247 0.874
O 0.740 0.251 0.374
O 0.747 0.755 0.729
O 0.749 0.260 0.126
O 0.753 0.262 0.626
O 0.755 0.747 0.229
```


4.
Here is GdSiPt2 after structural relaxation from OQMD via LeMat-Bulk. Energies are from PBE. Values from VASP.

Structure (Quantum ESPRESSO input):
```
&SYSTEM
  ibrav = 0, nat = 16, ntyp = 3
/
ATOMIC_SPECIES
Gd 157.25 Gd.upf
Si 28.09 Si.upf
Pt 195.08 Pt.upf
CELL_PARAMETERS angstrom
7.400 0.000 0.000
0.000 6.977 0.000
0.000 0.000 5.563
ATOMIC_POSITIONS crystal
Gd 0.027 0.250 0.136
Gd 0.473 0.750 0.636
Gd 0.527 0.250 0.364
Gd 0.973 0.750 0.864
Si 0.121 0.750 0.363
Si 0.379 0.250 0.863
Si 0.621 0.750 0.137
Si 0.879 0.250 0.637
Pt 0.180 0.051 0.592
Pt 0.180 0.449 0.592
Pt 0.320 0.551 0.092
Pt 0.320 0.949 0.092
Pt 0.680 0.051 0.908
Pt 0.680 0.449 0.908
Pt 0.820 0.551 0.408
Pt 0.820 0.949 0.408
```


Number 1: V 186 Å³ per cell, uncorrected energy -0.17463 hartree per atom. Number 2: V 238 Å³ per cell, uncorrected energy -0.22792 hartree per atom. Number 3: V 290 Å³ per cell, uncorrected energy -0.18811 hartree per atom. Number 4: V 287 Å³ per cell, uncorrected energy -0.24636 hartree per atom.